TaTl2Ir at its PBEsol-relaxed geometry. Source: the Alexandria database, functional SCAN.

abc: 3.0000 3.1846 8.7573
angles: 90.00 99.86 90.00
Sites, in units of the cell vectors:
Ta1 0.0000 0.0000 0.0000
Tl1 0.6288 0.5000 0.2582
Tl2 0.7951 0.0000 0.5826
Ir1 0.4162 0.5000 0.8318

Properties
* V: 20.61 Å³/atom
* formation energy: 0.3 eV/f.u.
* energy above the most stable polymorph in this dataset: 0 meV per atom